TcHg2Mo | GGA-PBE | relaxed

ρ = 13.82 g/cm3
Energy relative to the lowest polymorph listed for this composition = 0.394 eV/atom

a b c (Å): 9.680 9.680 9.680
angles (deg): 17.49 17.49 17.49
Each line ends with the local moment (μB).
Fractional positions:
1 Hg 0.499 0.499 0.499  0.00
2 Hg 0.001 0.001 0.001  0.00
3 Tc 0.750 0.750 0.750  0.23
4 Mo 0.250 0.250 0.250  0.06